Arrangement 1

Below is a relaxed LiSc2 crystal, with properties calculated at the PBE-GGA level.

Results
space-group type: I4/mmm (139)
volume: 22.77 A^3/atom
magnetic moment: 1.0 μB per formula unit

abc: 3.279 3.279 6.762
angles: 104.03 104.03 90.00
Site moments in Bohr magnetons follow the coordinates.
Atoms (fractional coordinates):
Sc (0.336, 0.336, 0.672)  0.31
Li (0.000, 0.000, 0.000)  0.01
Sc (0.664, 0.664, 0.328)  0.31


Arrangement 2

Below is a relaxed LiSc2 crystal, with properties calculated at the PBE-GGA level.

Results
space-group type: Cmcm (63)
volume: 23.26 A^3/atom
magnetic moment: 0.0 μB per formula unit

abc: 8.450 8.450 5.102
angles: 90.00 90.00 157.48
Atoms (fractional coordinates):
Sc (0.776, 0.224, 0.500)
Sc (0.333, 0.667, 0.000)
Sc (0.668, 0.332, 0.000)
Li (0.445, 0.555, 0.500)
Sc (0.111, 0.889, 0.500)
Li (0.999, 0.001, 0.000)


Arrangement 3

Below is a relaxed LiSc2 crystal, with properties calculated at the PBE-GGA level.

Results
space-group type: I4_1/amd (141)
volume: 22.50 A^3/atom
magnetic moment: 0.3 μB per formula unit

abc: 12.580 12.580 12.580
angles: 164.91 164.91 21.41
Site moments in Bohr magnetons follow the coordinates.
Atoms (fractional coordinates):
Li (0.500, 0.500, 0.000)  0.00
Sc (0.823, 0.323, 0.500)  0.11
Sc (0.677, 0.177, 0.500)  0.11
Sc (0.927, 0.927, 0.000)  0.11
Li (0.250, 0.750, 0.500)  0.00
Sc (0.073, 0.073, 0.000)  0.11


Arrangement 4

Below is a relaxed LiSc2 crystal, with properties calculated at the PBE-GGA level.

Results
space-group type: Pnma (62)
volume: 22.08 A^3/atom
magnetic moment: 0.0 μB per formula unit

abc: 4.882 6.111 8.882
angles: 90.00 90.00 90.00
Atoms (fractional coordinates):
Sc (0.750, 0.841, 0.570)
Sc (0.250, 0.026, 0.789)
Sc (0.750, 0.341, 0.930)
Li (0.750, 0.805, 0.903)
Sc (0.250, 0.159, 0.430)
Li (0.250, 0.195, 0.097)
Sc (0.750, 0.974, 0.211)
Li (0.750, 0.305, 0.597)
Sc (0.250, 0.526, 0.711)
Li (0.250, 0.695, 0.403)
Sc (0.750, 0.474, 0.289)
Sc (0.250, 0.659, 0.070)


Most stable one: arrangement 2, least stable one: arrangement 3.


Arrangement 1

Below is a relaxed LiSc2 crystal, with properties calculated at the PBE-GGA level.

Results
space-group type: I4/mcm (140)
volume: 22.35 A^3/atom
magnetic moment: 1.2 μB per formula unit

abc: 5.802 5.802 5.802
angles: 99.90 99.90 130.99
Site moments in Bohr magnetons follow the coordinates.
Atoms (fractional coordinates):
Li (0.250, 0.250, 0.000)  0.03
Sc (0.853, 0.353, 0.206)  0.31
Sc (0.147, 0.647, 0.794)  0.31
Li (0.750, 0.750, 0.000)  0.03
Sc (0.647, 0.853, 0.500)  0.31
Sc (0.353, 0.147, 0.500)  0.31


Arrangement 2

Below is a relaxed LiSc2 crystal, with properties calculated at the PBE-GGA level.

Results
space-group type: P6_3/mmc (194)
volume: 22.31 A^3/atom
magnetic moment: 0.0 μB per formula unit

abc: 4.962 4.962 6.279
angles: 90.00 90.00 120.00
Atoms (fractional coordinates):
Sc (0.333, 0.667, 0.750)
Li (0.333, 0.667, 0.250)
Sc (0.000, 0.000, 0.000)
Li (0.667, 0.333, 0.750)
Sc (0.667, 0.333, 0.250)
Sc (0.000, 0.000, 0.500)


Arrangement 3

Below is a relaxed LiSc2 crystal, with properties calculated at the PBE-GGA level.

Results
space-group type: P-3m1 (164)
volume: 23.55 A^3/atom
magnetic moment: 0.5 μB per formula unit

abc: 3.206 3.206 7.937
angles: 90.00 90.00 120.00
Site moments in Bohr magnetons follow the coordinates.
Atoms (fractional coordinates):
Sc (0.333, 0.667, 0.338)  0.15
Sc (0.667, 0.333, 0.662)  0.15
Li (0.000, 0.000, 0.000)  0.00


Most stable one: arrangement 3, least stable one: arrangement 2.


Arrangement 1

Below is a relaxed Li2Sc crystal, with properties calculated at the PBE-GGA level.

Results
space-group type: Cmcm (63)
volume: 20.93 A^3/atom
magnetic moment: 0.0 μB per formula unit

abc: 7.947 7.947 5.052
angles: 90.00 90.00 156.82
Atoms (fractional coordinates):
Li (0.257, 0.743, 0.250)
Li (0.743, 0.257, 0.750)
Sc (0.063, 0.937, 0.750)
Li (0.391, 0.609, 0.750)
Sc (0.937, 0.063, 0.250)
Li (0.609, 0.391, 0.250)


Arrangement 2

Below is a relaxed Li2Sc crystal, with properties calculated at the PBE-GGA level.

Results
space-group type: I4_1/amd (141)
volume: 22.20 A^3/atom
magnetic moment: 0.3 μB per formula unit

abc: 15.339 15.339 15.339
angles: 168.92 168.92 15.69
Site moments in Bohr magnetons follow the coordinates.
Atoms (fractional coordinates):
Li (0.168, 0.668, 0.500)  0.00
Li (0.582, 0.582, 0.000)  0.00
Sc (0.750, 0.250, 0.500)  0.22
Li (0.332, 0.832, 0.500)  0.00
Sc (0.000, 0.000, 0.000)  0.22
Li (0.418, 0.418, 0.000)  0.00


Most stable one: arrangement 1, least stable one: arrangement 2.


Arrangement 1

Below is a relaxed Li2Sc crystal, with properties calculated at the PBE-GGA level.

Results
space-group type: I4_1/amd (141)
volume: 21.39 A^3/atom
magnetic moment: 0.0 μB per formula unit

abc: 14.297 14.297 14.297
angles: 162.76 162.76 24.48
Atoms (fractional coordinates):
Sc (0.835, 0.335, 0.500)
Li (0.247, 0.247, 0.000)
Sc (0.665, 0.165, 0.500)
Li (0.331, 0.831, 0.500)
Li (0.997, 0.497, 0.500)
Li (0.503, 0.003, 0.500)
Li (0.753, 0.753, 0.000)
Sc (0.915, 0.915, 0.000)
Sc (0.085, 0.085, 0.000)
Li (0.581, 0.581, 0.000)
Li (0.419, 0.419, 0.000)
Li (0.169, 0.669, 0.500)


Arrangement 2

Below is a relaxed Li2Sc crystal, with properties calculated at the PBE-GGA level.

Results
space-group type: I4/mcm (140)
volume: 21.84 A^3/atom
magnetic moment: 0.0 μB per formula unit

abc: 5.554 5.554 5.554
angles: 106.88 106.88 114.79
Atoms (fractional coordinates):
Sc (0.750, 0.750, 0.000)
Li (0.634, 0.134, 0.768)
Li (0.866, 0.634, 0.500)
Li (0.366, 0.866, 0.232)
Sc (0.250, 0.250, 0.000)
Li (0.134, 0.366, 0.500)


Arrangement 3

Below is a relaxed Li2Sc crystal, with properties calculated at the PBE-GGA level.

Results
space-group type: Fd-3m (227)
volume: 20.37 A^3/atom
magnetic moment: 0.0 μB per formula unit

abc: 5.571 5.571 5.571
angles: 60.00 60.00 60.00
Atoms (fractional coordinates):
Li (0.625, 0.625, 0.625)
Sc (0.250, 0.250, 0.250)
Li (0.625, 0.125, 0.625)
Li (0.125, 0.625, 0.625)
Li (0.625, 0.625, 0.125)
Sc (0.000, 0.000, 0.000)


Most stable one: arrangement 3, least stable one: arrangement 2.


Arrangement 1

Below is a relaxed Li2Sc crystal, with properties calculated at the PBE-GGA level.

Results
space-group type: I4/mmm (139)
volume: 20.28 A^3/atom
magnetic moment: 0.0 μB per formula unit

abc: 3.449 3.449 5.665
angles: 107.72 107.72 90.00
Atoms (fractional coordinates):
Li (0.315, 0.315, 0.631)
Li (0.685, 0.685, 0.369)
Sc (0.000, 0.000, 0.000)


Arrangement 2

Below is a relaxed Li2Sc crystal, with properties calculated at the PBE-GGA level.

Results
space-group type: P-3m1 (164)
volume: 21.97 A^3/atom
magnetic moment: 0.3 μB per formula unit

abc: 3.137 3.137 7.732
angles: 90.00 90.00 120.00
Site moments in Bohr magnetons follow the coordinates.
Atoms (fractional coordinates):
Li (0.333, 0.667, 0.338)  0.00
Li (0.667, 0.333, 0.662)  0.00
Sc (0.000, 0.000, 0.000)  0.18


Most stable one: arrangement 2, least stable one: arrangement 1.


Arrangement 1

Below is a relaxed Li2Sc crystal, with properties calculated at the PBE-GGA level.

Results
space-group type: C2/m (12)
volume: 20.83 A^3/atom
magnetic moment: 0.2 μB per formula unit

abc: 5.675 5.675 7.489
angles: 71.39 71.39 33.34
Site moments in Bohr magnetons follow the coordinates.
Atoms (fractional coordinates):
Li (0.529, 0.529, 0.259)  0.00
Li (0.844, 0.844, 0.542)  0.00
Sc (0.837, 0.837, 0.102)  0.15
Sc (0.163, 0.163, 0.898)  0.15
Li (0.471, 0.471, 0.741)  0.00
Li (0.156, 0.156, 0.458)  0.00


Arrangement 2

Below is a relaxed Li2Sc crystal, with properties calculated at the PBE-GGA level.

Results
space-group type: Cmcm (63)
volume: 21.68 A^3/atom
magnetic moment: 0.0 μB per formula unit

abc: 8.182 8.182 5.108
angles: 90.00 90.00 157.64
Atoms (fractional coordinates):
Sc (0.276, 0.724, 0.750)
Li (0.606, 0.394, 0.750)
Li (0.947, 0.053, 0.750)
Li (0.394, 0.606, 0.250)
Sc (0.724, 0.276, 0.250)
Li (0.053, 0.947, 0.250)


Most stable one: arrangement 2, least stable one: arrangement 1.